w.
! Cr3N2 (meta-GGA SCAN, single point on PBEsol structure); values from VASP
! symmetry	No. 12
! density of states at the Fermi level	9.598	states/eV/cell
&SYSTEM
  ibrav = 0, nat = 15, ntyp = 2
/
ATOMIC_SPECIES
Cr 52.00 Cr.upf
N 14.01 N.upf
ATOMIC_POSITIONS angstrom
Cr 1.277 1.620 1.065
Cr 2.654 4.738 3.970
Cr 1.507 -0.183 4.269
Cr 2.424 6.542 0.766
Cr 1.693 2.401 3.574
Cr 2.238 3.957 1.461
Cr 3.853 1.343 4.498
Cr 0.078 5.015 0.537
Cr -1.039 0.291 0.803
N 0.380 3.392 1.516
N 3.551 2.966 3.520
N 0.719 0.878 2.866
N 3.212 5.481 2.170
N 2.728 0.366 5.649
N 1.203 5.992 -0.614
CELL_PARAMETERS angstrom
-2.079 0.582 1.607
4.787 -1.533 4.495
1.223 7.309 -1.066

x.
! Cr3N2 (meta-GGA SCAN, single point on PBEsol structure); values from VASP
! symmetry	No. 164
! density of states at the Fermi level	2.579	states/eV/cell
&SYSTEM
  ibrav = 0, nat = 5, ntyp = 2
/
ATOMIC_SPECIES
Cr 52.00 Cr.upf
N 14.01 N.upf
ATOMIC_POSITIONS angstrom
Cr -2.921 0.399 3.592
Cr -2.434 -0.651 1.277
Cr 0.000 0.000 0.000
N -0.574 -0.666 1.820
N -4.781 0.414 3.049
CELL_PARAMETERS angstrom
-1.727 -1.801 -1.205
1.392 -0.730 2.282
-5.020 2.279 3.792

Which structure is most stable, and how do the rest compare? From most to least stable: x, w.

w.
! CrNiSe2N (meta-GGA SCAN, single point on PBEsol structure); values from VASP
! symmetry	No. 123
! density of states at the Fermi level	1.505	states/eV/cell
&SYSTEM
  ibrav = 0, nat = 5, ntyp = 4
/
ATOMIC_SPECIES
Ni 58.69 Ni.upf
N 14.01 N.upf
Se 78.96 Se.upf
Cr 52.00 Cr.upf
ATOMIC_POSITIONS angstrom
Ni 0.000 0.000 0.000
N 1.683 0.000 0.000
Se 0.000 0.000 2.424
Se 0.000 2.424 0.000
Cr 1.683 2.424 2.424
CELL_PARAMETERS angstrom
3.366 0.000 0.000
0.000 4.848 0.000
0.000 0.000 4.848

x.
! CrNiSe2N (meta-GGA SCAN, single point on PBEsol structure); values from VASP
! symmetry	No. 123
! density of states at the Fermi level	3.559	states/eV/cell
&SYSTEM
  ibrav = 0, nat = 5, ntyp = 4
/
ATOMIC_SPECIES
Ni 58.69 Ni.upf
N 14.01 N.upf
Se 78.96 Se.upf
Cr 52.00 Cr.upf
ATOMIC_POSITIONS angstrom
Ni 1.710 2.380 2.380
N 1.710 0.000 0.000
Se 0.000 0.000 2.380
Se 0.000 2.380 0.000
Cr 0.000 0.000 0.000
CELL_PARAMETERS angstrom
3.421 0.000 0.000
0.000 4.761 0.000
0.000 0.000 4.761

Which structure is most stable, and how do the rest compare? From most to least stable: w, x.

w.
! CrPS2N (meta-GGA SCAN, single point on PBEsol structure); values from VASP
! symmetry	No. 123
! density of states at the Fermi level	3.363	states/eV/cell
&SYSTEM
  ibrav = 0, nat = 5, ntyp = 4
/
ATOMIC_SPECIES
Cr 52.00 Cr.upf
S 32.06 S.upf
N 14.01 N.upf
P 30.97 P.upf
ATOMIC_POSITIONS angstrom
Cr 0.000 0.000 0.000
S 0.000 2.131 0.000
S 2.131 0.000 0.000
N 2.131 2.131 2.285
P 0.000 0.000 2.285
CELL_PARAMETERS angstrom
4.261 0.000 0.000
0.000 4.261 0.000
0.000 0.000 4.570

x.
! CrPS2N (meta-GGA SCAN, single point on PBEsol structure); values from VASP
! symmetry	No. 123
! density of states at the Fermi level	2.383	states/eV/cell
&SYSTEM
  ibrav = 0, nat = 5, ntyp = 4
/
ATOMIC_SPECIES
Cr 52.00 Cr.upf
S 32.06 S.upf
N 14.01 N.upf
P 30.97 P.upf
ATOMIC_POSITIONS angstrom
Cr -1.629 -3.070 0.109
S 0.658 -1.600 0.976
S -0.398 -1.130 -1.584
N 0.000 0.000 0.000
P -1.889 -0.340 0.717
CELL_PARAMETERS angstrom
-3.779 -0.680 1.434
-0.796 -2.260 -3.168
1.316 -3.200 1.951

Which structure is most stable, and how do the rest compare? From most to least stable: x, w.

w.
! Cr3TcN (meta-GGA SCAN, single point on PBEsol structure); values from VASP
! symmetry	No. 221
! density of states at the Fermi level	3.459	states/eV/cell
&SYSTEM
  ibrav = 0, nat = 5, ntyp = 3
/
ATOMIC_SPECIES
Cr 52.00 Cr.upf
Tc 98.00 Tc.upf
N 14.01 N.upf
ATOMIC_POSITIONS angstrom
Cr 0.000 2.275 0.000
Cr 0.000 0.000 2.275
Cr 2.275 0.000 0.000
Tc 0.000 0.000 0.000
N 2.275 2.275 2.275
CELL_PARAMETERS angstrom
4.551 0.000 0.000
0.000 4.551 0.000
0.000 0.000 4.551

x.
! Cr3TcN (meta-GGA SCAN, single point on PBEsol structure); values from VASP
! symmetry	No. 221
! density of states at the Fermi level	4.187	states/eV/cell
&SYSTEM
  ibrav = 0, nat = 5, ntyp = 3
/
ATOMIC_SPECIES
Cr 52.00 Cr.upf
Tc 98.00 Tc.upf
N 14.01 N.upf
ATOMIC_POSITIONS angstrom
Cr -0.894 -1.483 0.744
Cr -0.650 1.090 1.393
Cr -1.527 0.404 -1.028
Tc -3.070 0.011 1.109
N 0.000 0.000 0.000
CELL_PARAMETERS angstrom
-3.054 0.809 -2.057
-1.788 -2.967 1.488
-1.299 2.181 2.787

Which structure is most stable, and how do the rest compare? From most to least stable: x, w.

w.
! NaCr3O8 (meta-GGA SCAN, single point on PBEsol structure); values from VASP
! symmetry	No. 58
&SYSTEM
  ibrav = 0, nat = 24, ntyp = 3
/
ATOMIC_SPECIES
Na 22.99 Na.upf
Cr 52.00 Cr.upf
O 16.00 O.upf
ATOMIC_POSITIONS angstrom
Na 0.000 3.211 0.000
Na 2.730 0.000 4.346
Cr 0.000 0.000 0.000
Cr 0.000 1.924 5.743
Cr 0.000 4.498 2.950
Cr 2.730 5.135 7.296
Cr 2.730 3.211 4.346
Cr 2.730 1.287 1.396
O 0.000 5.741 1.830
O 0.000 0.681 6.863
O 0.000 3.325 6.471
O 0.000 3.098 2.222
O 4.111 5.094 8.270
O 4.111 1.329 0.423
O 4.079 4.540 3.924
O 4.079 1.883 4.769
O 2.730 2.530 2.517
O 2.730 0.114 6.568
O 2.730 6.309 2.125
O 2.730 3.893 6.176
O 1.381 4.540 3.924
O 1.381 1.883 4.769
O 1.349 1.329 0.423
O 1.349 5.094 8.270
CELL_PARAMETERS angstrom
5.460 0.000 0.000
0.000 6.423 0.000
0.000 0.000 8.693

x.
! NaCr3O8 (meta-GGA SCAN, single point on PBEsol structure); values from VASP
! symmetry	No. 12
&SYSTEM
  ibrav = 0, nat = 12, ntyp = 3
/
ATOMIC_SPECIES
Na 22.99 Na.upf
Cr 52.00 Cr.upf
O 16.00 O.upf
ATOMIC_POSITIONS angstrom
Na 0.000 0.000 0.000
Cr -1.733 2.915 -0.349
Cr -3.544 0.050 -0.505
Cr -7.135 1.437 -1.064
O -3.124 1.644 -0.501
O -7.554 -0.156 -1.067
O -8.425 2.356 -1.279
O -2.253 -0.869 -0.289
O -6.052 1.737 -2.324
O -4.236 -0.347 -1.993
O -4.626 -0.250 0.755
O -6.443 1.834 0.424
CELL_PARAMETERS angstrom
-3.224 -2.266 -3.127
-3.989 -2.076 2.256
-3.466 5.830 -0.697

Which structure is most stable, and how do the rest compare? From most to least stable: x, w.

w.
! Na3CrS (meta-GGA SCAN, single point on PBEsol structure); values from VASP
! symmetry	No. 221
! density of states at the Fermi level	0.215	states/eV/cell
&SYSTEM
  ibrav = 0, nat = 5, ntyp = 3
/
ATOMIC_SPECIES
Cr 52.00 Cr.upf
S 32.06 S.upf
Na 22.99 Na.upf
ATOMIC_POSITIONS angstrom
Cr 0.000 0.000 0.000
S -1.918 2.333 3.585
Na 0.338 -0.603 2.616
Na 0.399 2.619 0.552
Na -2.655 0.317 0.416
CELL_PARAMETERS angstrom
-5.310 0.634 0.833
0.677 -1.206 5.233
0.798 5.238 1.104

x.
! Na3CrS (meta-GGA SCAN, single point on PBEsol structure); values from VASP
! symmetry	No. 221
! density of states at the Fermi level	0.423	states/eV/cell
&SYSTEM
  ibrav = 0, nat = 5, ntyp = 3
/
ATOMIC_SPECIES
Cr 52.00 Cr.upf
S 32.06 S.upf
Na 22.99 Na.upf
ATOMIC_POSITIONS angstrom
Cr -2.426 -0.342 -3.871
S 0.000 0.000 0.000
Na 0.445 -1.751 -1.932
Na -2.592 -0.508 -0.138
Na -0.280 1.916 -1.801
CELL_PARAMETERS angstrom
-0.559 3.833 -3.603
0.891 -3.502 -3.864
-5.184 -1.015 -0.275

Which structure is most stable, and how do the rest compare? From most to least stable: x, w.